No. 1
The following is a DFT calculation (PBE-GGA) of La2MnGa3Ni12 after structural relaxation.

Calculated values
**Magnetization**: 4.12 Bohr magnetons per cell
**Total energy**: -5.409 eV per atom
**Crystal system**: trigonal
**Formation enthalpy at 0 K**: 0.007 eV per atom

Cell lengths 9.150, 9.150, 9.150 Å; angles 39.29, 39.29, 39.29 degrees
Site moments in Bohr magnetons follow the coordinates.
Sites, in units of the cell vectors:
La (0.657, 0.657, 0.657)  -0.06
Ni (0.066, 0.654, 0.066)  0.18
Ni (0.189, 0.581, 0.581)  0.06
Ni (0.066, 0.066, 0.654)  0.18
Ga (0.500, 0.000, 0.000)  -0.01
Ni (0.346, 0.934, 0.934)  0.18
Ni (0.581, 0.581, 0.189)  0.06
Ni (0.654, 0.066, 0.066)  0.18
Mn (0.000, 0.000, 0.000)  2.90
Ni (0.934, 0.934, 0.346)  0.18
Ni (0.419, 0.419, 0.811)  0.06
Ga (0.000, 0.500, 0.000)  -0.01
Ni (0.811, 0.419, 0.419)  0.06
La (0.343, 0.343, 0.343)  -0.06
Ni (0.581, 0.189, 0.581)  0.06
Ni (0.419, 0.811, 0.419)  0.06
Ga (0.000, 0.000, 0.500)  -0.01
Ni (0.934, 0.346, 0.934)  0.18

---

No. 2
The following is a DFT calculation (PBE-GGA) of PmPu2Fe2 after structural relaxation.

Calculated values
**Magnetization**: 15.99 Bohr magnetons per cell
**Total energy**: -9.883 eV per atom
**Crystal system**: orthorhombic
**Formation enthalpy at 0 K**: 0.185 eV per atom

Cell lengths 5.707, 5.707, 8.222 Å; angles 89.99, 89.99, 127.32 degrees
Site moments in Bohr magnetons follow the coordinates.
Sites, in units of the cell vectors:
Fe (0.797, 0.203, 0.750)  -1.61
Pu (0.356, 0.645, 0.029)  5.20
Pm (0.925, 0.075, 0.250)  0.18
Fe (0.602, 0.398, 0.250)  -1.49
Pu (0.645, 0.356, 0.529)  5.20
Pu (0.644, 0.355, 0.971)  5.20
Fe (0.203, 0.797, 0.250)  -1.61
Fe (0.398, 0.602, 0.750)  -1.49
Pm (0.075, 0.925, 0.750)  0.18
Pu (0.355, 0.644, 0.471)  5.20

---

No. 3
The following is a DFT calculation (PBE-GGA) of Sr2SnPt after structural relaxation.

Calculated values
**Magnetization**: 0.00 Bohr magnetons per cell
**Total energy**: -4.018 eV per atom
**Crystal system**: tetragonal
**Formation enthalpy at 0 K**: -0.666 eV per atom

Cell lengths 3.664, 3.664, 8.614 Å; angles 90.00, 90.00, 90.00 degrees
Sites, in units of the cell vectors:
Pt (0.500, 0.500, 0.000)
Sr (0.000, 0.000, 0.214)
Sn (0.500, 0.500, 0.500)
Sr (0.000, 0.000, 0.786)

---

No. 4
The following is a DFT calculation (PBE-GGA) of KAg2P after structural relaxation.

Calculated values
**Magnetization**: 0.00 Bohr magnetons per cell
**Total energy**: -3.078 eV per atom
**Crystal system**: monoclinic
**Formation enthalpy at 0 K**: -0.026 eV per atom

Cell lengths 4.569, 4.569, 6.349 Å; angles 69.09, 69.09, 59.95 degrees
Sites, in units of the cell vectors:
K (0.750, 0.750, 0.750)
P (0.250, 0.250, 0.250)
Ag (0.941, 0.941, 0.175)
Ag (0.559, 0.559, 0.325)

---

Among the records above, which one has the lowest total energy? PmPu2Fe2

---

formation enthalpy at 0 K of number 4 (KAg2P)? -0.026 eV per atom